Entry 1:
Here is Na3ErTm2Te6 after structural relaxation from Alexandria via LeMat-Bulk. Energies are from PBE.

Unit cell a=7.601 b=7.601 c=7.978 alpha=99.14 beta=99.14 gamma=120.00
Sites, in units of the cell vectors:
Te  0.076  0.411  0.229
Te  0.411  0.076  0.229
Te  0.258  0.258  0.771
Te  0.924  0.589  0.771
Te  0.742  0.742  0.229
Te  0.589  0.924  0.771
Tm  0.333  0.667  0.000
Tm  0.667  0.333  0.000
Er  0.000  0.000  0.000
Na  0.833  0.167  0.500
Na  0.500  0.500  0.500
Na  0.167  0.833  0.500

E_form (uncorrected) = -15.57 eV/f.u.

---

Entry 2:
Here is Na2ErUTe4 after structural relaxation from Alexandria via LeMat-Bulk. Energies are from PBE.

Unit cell a=4.411 b=7.661 c=8.009 alpha=108.60 beta=90.00 gamma=90.00
Last column: magnetic moment on the atom in μB.
Sites, in units of the cell vectors:
Te  0.500  0.750  0.765  -0.04
Te  0.000  0.740  0.233  -0.02
Te  0.000  0.260  0.767  -0.02
Te  0.500  0.250  0.235  -0.04
Na  0.000  0.500  0.500  0.00
Na  0.500  0.000  0.500  0.00
Er  0.500  0.500  0.000  0.08
U  0.000  0.000  0.000  2.74

E_form (uncorrected) = -8.17 eV/f.u.
D(E_F) = 1.0864 states/eV/atom

---

Entry 3:
Here is Na3ErU2Te6 after structural relaxation from Alexandria via LeMat-Bulk. Energies are from PBE.

Unit cell a=7.645 b=7.645 c=8.024 alpha=99.14 beta=99.14 gamma=120.00
Last column: magnetic moment on the atom in μB.
Sites, in units of the cell vectors:
Te  0.593  0.922  0.765  -0.04
Te  0.750  0.750  0.235  -0.04
Te  0.078  0.407  0.235  -0.04
Te  0.922  0.593  0.765  -0.04
Te  0.407  0.078  0.235  -0.04
Te  0.250  0.250  0.765  -0.04
Na  0.168  0.832  0.500  0.00
Na  0.832  0.168  0.500  0.00
Na  0.500  0.500  0.500  0.00
U  0.333  0.667  0.000  2.75
U  0.667  0.333  0.000  2.75
Er  0.000  0.000  0.000  0.10

E_form (uncorrected) = -11.24 eV/f.u.
D(E_F) = 1.0405 states/eV/atom

---

Entry 4:
Here is Na4Er3UTe8 after structural relaxation from Alexandria via LeMat-Bulk. Energies are from PBE.

Unit cell a=8.835 b=9.133 c=8.833 alpha=118.94 beta=120.01 gamma=90.00
Last column: magnetic moment on the atom in μB.
Sites, in units of the cell vectors:
Te  0.753  0.267  0.505  -0.02
Te  0.753  0.267  0.014  -0.02
Te  0.247  0.733  0.986  -0.02
Te  0.739  0.733  0.986  -0.02
Te  0.257  0.270  0.513  0.00
Te  0.261  0.267  0.014  -0.02
Te  0.743  0.730  0.487  0.00
Te  0.247  0.733  0.495  -0.02
Na  0.500  0.000  0.500  0.00
Na  0.500  0.000  0.000  0.00
Na  0.000  0.000  0.000  0.00
Na  0.000  0.000  0.500  0.00
Er  0.500  0.500  0.000  0.04
Er  0.500  0.500  0.500  0.04
Er  0.000  0.500  0.500  0.04
U  0.000  0.500  0.000  2.74

E_form (uncorrected) = -18.54 eV/f.u.
D(E_F) = 0.4470 states/eV/atom

---

Entry 5:
Here is Na3Er3UTe8 after structural relaxation from Alexandria via LeMat-Bulk. Energies are from PBE.

Unit cell a=8.777 b=8.777 c=9.140 alpha=118.72 beta=90.00 gamma=120.00
Last column: magnetic moment on the atom in μB.
Sites, in units of the cell vectors:
U  0.000  0.000  0.500  2.20
Na  0.500  0.500  0.000  0.00
Na  0.000  0.500  0.000  0.00
Na  0.000  0.000  0.000  0.00
Te  0.741  0.985  0.729  -0.04
Te  0.756  0.511  0.271  -0.04
Te  0.244  0.489  0.729  -0.04
Te  0.756  0.015  0.271  -0.04
Te  0.256  0.513  0.269  0.00
Te  0.244  0.985  0.729  -0.04
Te  0.259  0.015  0.271  -0.04
Te  0.744  0.487  0.731  0.00
Er  0.500  0.500  0.500  0.01
Er  0.500  0.000  0.500  0.01
Er  0.000  0.500  0.500  0.01

E_form (uncorrected) = -17.30 eV/f.u.
D(E_F) = 0.3374 states/eV/atom

---

Entry 6:
Here is Na3Y2ErTe6 after structural relaxation from Alexandria via LeMat-Bulk. Energies are from PBE.

Unit cell a=7.655 b=7.655 c=7.985 alpha=99.19 beta=99.19 gamma=120.00
Sites, in units of the cell vectors:
Na  0.500  0.500  0.500
Na  0.168  0.832  0.500
Na  0.832  0.168  0.500
Te  0.746  0.746  0.232
Te  0.592  0.923  0.768
Te  0.077  0.408  0.232
Te  0.254  0.254  0.768
Te  0.408  0.077  0.232
Te  0.923  0.592  0.768
Y  0.334  0.666  0.000
Y  0.666  0.334  0.000
Er  0.000  0.000  0.000

E_form (uncorrected) = -15.87 eV/f.u.

---

Entry 7:
Here is NaY2Er3Te6 after structural relaxation from Alexandria via LeMat-Bulk. Energies are from PBE.

Unit cell a=4.339 b=8.777 c=9.778 alpha=103.27 beta=102.82 gamma=90.00
Sites, in units of the cell vectors:
Y  0.171  0.345  0.342
Y  0.829  0.655  0.658
Er  0.500  0.500  0.000
Er  0.835  0.174  0.670
Er  0.165  0.826  0.330
Te  0.669  0.082  0.338
Te  0.001  0.254  0.003
Te  0.664  0.586  0.328
Te  0.331  0.918  0.662
Te  0.336  0.414  0.672
Te  0.999  0.746  0.997
Na  0.500  0.000  0.000

E_form (uncorrected) = -15.39 eV/f.u.
D(E_F) = 0.3543 states/eV/atom

---

Entry 8:
Here is Na2YEr3Te6 after structural relaxation from Alexandria via LeMat-Bulk. Energies are from PBE.

Unit cell a=7.562 b=7.562 c=7.678 alpha=99.44 beta=99.44 gamma=119.95
Sites, in units of the cell vectors:
Er  0.831  0.169  0.500
Er  0.500  0.500  0.500
Er  0.169  0.831  0.500
Te  0.243  0.243  0.741
Te  0.915  0.584  0.745
Te  0.085  0.416  0.255
Te  0.757  0.757  0.259
Te  0.416  0.085  0.255
Te  0.584  0.915  0.745
Y  0.000  0.000  0.000
Na  0.666  0.334  0.000
Na  0.334  0.666  0.000

E_form (uncorrected) = -15.45 eV/f.u.
D(E_F) = 0.3125 states/eV/atom

---

Entry 9:
Here is Na3YEr2Te6 after structural relaxation from Alexandria via LeMat-Bulk. Energies are from PBE.

Unit cell a=7.636 b=7.636 c=7.982 alpha=99.17 beta=99.17 gamma=120.00
Sites, in units of the cell vectors:
Te  0.077  0.412  0.231
Te  0.923  0.588  0.769
Te  0.741  0.741  0.231
Te  0.588  0.923  0.769
Te  0.412  0.077  0.231
Te  0.259  0.259  0.769
Na  0.834  0.166  0.500
Na  0.166  0.834  0.500
Na  0.500  0.500  0.500
Er  0.333  0.667  0.000
Er  0.667  0.333  0.000
Y  0.000  0.000  0.000

E_form (uncorrected) = -15.75 eV/f.u.

---

Entry 10:
Here is Na2YErTe4 after structural relaxation from Alexandria via LeMat-Bulk. Energies are from PBE.

Unit cell a=4.414 b=7.641 c=7.991 alpha=108.63 beta=90.00 gamma=90.00
Sites, in units of the cell vectors:
Na  0.000  0.500  0.500
Na  0.500  0.000  0.500
Te  0.500  0.754  0.768
Te  0.000  0.258  0.769
Te  0.500  0.246  0.232
Te  0.000  0.742  0.231
Y  0.000  0.000  0.000
Er  0.500  0.500  0.000

E_form (uncorrected) = -10.54 eV/f.u.

---

Entry 11:
Here is NaY3Er2Te6 after structural relaxation from Alexandria via LeMat-Bulk. Energies are from PBE.

Unit cell a=4.349 b=8.782 c=9.783 alpha=103.22 beta=102.84 gamma=90.00
Sites, in units of the cell vectors:
Er  0.832  0.659  0.663
Er  0.168  0.341  0.337
Te  0.333  0.419  0.667
Te  0.003  0.252  0.007
Te  0.331  0.914  0.661
Te  0.667  0.581  0.333
Te  0.669  0.086  0.339
Te  0.997  0.748  0.993
Na  0.500  0.000  0.000
Y  0.163  0.823  0.325
Y  0.500  0.500  0.000
Y  0.837  0.177  0.675

E_form (uncorrected) = -15.50 eV/f.u.
D(E_F) = 0.3952 states/eV/atom

---

Entry 12:
Here is Na2Y3ErTe6 after structural relaxation from Alexandria via LeMat-Bulk. Energies are from PBE.

Unit cell a=7.589 b=7.589 c=7.695 alpha=99.45 beta=99.45 gamma=119.94
Sites, in units of the cell vectors:
Te  0.589  0.917  0.749
Te  0.758  0.758  0.255
Te  0.917  0.589  0.749
Te  0.242  0.242  0.745
Te  0.411  0.083  0.251
Te  0.083  0.411  0.251
Er  0.000  0.000  0.000
Na  0.666  0.334  0.000
Na  0.334  0.666  0.000
Y  0.500  0.500  0.500
Y  0.170  0.830  0.500
Y  0.830  0.170  0.500

E_form (uncorrected) = -15.75 eV/f.u.
D(E_F) = 0.3177 states/eV/atom

---

Entry 13:
Here is Na3Er3ZrTe8 after structural relaxation from Alexandria via LeMat-Bulk. Energies are from PBE.

Unit cell a=8.646 b=8.642 c=9.160 alpha=118.16 beta=90.00 gamma=120.01
Sites, in units of the cell vectors:
Na  0.500  0.500  0.000
Na  0.000  0.000  0.000
Na  0.000  0.500  0.000
Te  0.764  0.527  0.276
Te  0.764  0.012  0.276
Te  0.744  0.488  0.731
Te  0.249  0.012  0.276
Te  0.256  0.512  0.269
Te  0.236  0.988  0.724
Te  0.236  0.473  0.724
Te  0.751  0.988  0.724
Er  0.000  0.500  0.500
Er  0.500  0.000  0.500
Er  0.500  0.500  0.500
Zr  0.000  0.000  0.500

E_form (uncorrected) = -17.99 eV/f.u.

---

Entry 14:
Here is Na2ErZrTe4 after structural relaxation from Alexandria via LeMat-Bulk. Energies are from PBE.

Unit cell a=4.227 b=7.391 c=8.058 alpha=107.50 beta=90.00 gamma=90.00
Sites, in units of the cell vectors:
Er  0.000  0.000  0.000
Te  0.000  0.734  0.226
Te  0.000  0.266  0.774
Te  0.500  0.251  0.230
Te  0.500  0.749  0.770
Na  0.500  0.000  0.500
Na  0.000  0.500  0.500
Zr  0.500  0.500  0.000

E_form (uncorrected) = -8.67 eV/f.u.
D(E_F) = 0.4051 states/eV/atom

---

Entry 15:
Here is Na2ErZr2Te6 after structural relaxation from Alexandria via LeMat-Bulk. Energies are from PBE.

Unit cell a=7.216 b=7.216 c=8.157 alpha=98.34 beta=98.34 gamma=120.24
Sites, in units of the cell vectors:
Na  0.162  0.838  0.000
Na  0.838  0.162  0.000
Te  0.273  0.273  0.275
Te  0.923  0.582  0.273
Te  0.582  0.923  0.273
Te  0.077  0.418  0.727
Te  0.727  0.727  0.725
Te  0.418  0.077  0.727
Zr  0.668  0.332  0.500
Zr  0.332  0.668  0.500
Er  0.000  0.000  0.500

E_form (uncorrected) = -11.34 eV/f.u.
D(E_F) = 0.4064 states/eV/atom

---

Entry 16:
Here is Na4Er3ZrTe8 after structural relaxation from Alexandria via LeMat-Bulk. Energies are from PBE.

Unit cell a=8.661 b=9.109 c=8.660 alpha=118.40 beta=120.00 gamma=90.00
Last column: magnetic moment on the atom in μB.
Sites, in units of the cell vectors:
Te  0.256  0.268  0.512  0.00
Te  0.239  0.728  0.477  -0.01
Te  0.744  0.732  0.488  0.00
Te  0.249  0.272  0.011  -0.01
Te  0.761  0.272  0.523  -0.01
Te  0.761  0.272  0.011  -0.01
Te  0.751  0.728  0.989  -0.01
Te  0.239  0.728  0.989  -0.01
Er  0.500  0.500  0.000  0.03
Er  0.500  0.500  0.500  0.03
Er  0.000  0.500  0.500  0.03
Zr  0.000  0.500  0.000  0.39
Na  0.500  0.000  0.000  0.00
Na  0.000  0.000  0.500  0.00
Na  0.000  0.000  0.000  0.00
Na  0.500  0.000  0.500  0.00

E_form (uncorrected) = -18.98 eV/f.u.
D(E_F) = 0.2676 states/eV/atom

---

Entry 17:
Here is Na3Er2ZrTe6 after structural relaxation from Alexandria via LeMat-Bulk. Energies are from PBE.

Unit cell a=7.455 b=7.455 c=8.028 alpha=98.92 beta=98.92 gamma=120.01
Last column: magnetic moment on the atom in μB.
Sites, in units of the cell vectors:
Na  0.830  0.170  0.500  0.00
Na  0.170  0.830  0.500  0.00
Na  0.500  0.500  0.500  0.00
Er  0.334  0.666  0.000  0.04
Er  0.666  0.334  0.000  0.04
Te  0.753  0.753  0.229  0.00
Te  0.076  0.400  0.229  0.00
Te  0.924  0.600  0.771  0.00
Te  0.600  0.924  0.771  0.00
Te  0.400  0.076  0.229  0.00
Te  0.247  0.247  0.771  0.00
Zr  0.000  0.000  0.000  0.33

E_form (uncorrected) = -13.76 eV/f.u.
D(E_F) = 0.4093 states/eV/atom

---

Entry 18:
Here is Na3ErZr2Te6 after structural relaxation from Alexandria via LeMat-Bulk. Energies are from PBE.

Unit cell a=7.259 b=7.259 c=8.123 alpha=98.58 beta=98.58 gamma=120.06
Sites, in units of the cell vectors:
Te  0.419  0.076  0.228
Te  0.733  0.733  0.227
Te  0.076  0.419  0.228
Te  0.581  0.924  0.772
Te  0.924  0.581  0.772
Te  0.267  0.267  0.773
Na  0.163  0.837  0.500
Na  0.500  0.500  0.500
Na  0.837  0.163  0.500
Zr  0.668  0.332  0.000
Zr  0.332  0.668  0.000
Er  0.000  0.000  0.000

E_form (uncorrected) = -12.23 eV/f.u.
D(E_F) = 0.5008 states/eV/atom

---

Entry 19:
Here is Na3ErTl12 after structural relaxation from Alexandria via LeMat-Bulk. Energies are from PBE.

Unit cell a=4.860 b=4.860 c=19.212 alpha=90.00 beta=90.00 gamma=90.00
Sites, in units of the cell vectors:
Er  0.000  0.000  0.000
Na  0.000  0.000  0.755
Na  0.000  0.000  0.245
Na  0.000  0.000  0.500
Tl  0.500  0.500  0.000
Tl  0.000  0.500  0.122
Tl  0.500  0.000  0.375
Tl  0.000  0.500  0.625
Tl  0.500  0.000  0.878
Tl  0.500  0.500  0.500
Tl  0.500  0.000  0.122
Tl  0.500  0.500  0.751
Tl  0.000  0.500  0.878
Tl  0.000  0.500  0.375
Tl  0.500  0.500  0.249
Tl  0.500  0.000  0.625

DFT formation energy = -1.3 eV/f.u.
D(E_F) = 0.5094 states/eV/atom

---

Entry 20:
Here is Na4ErTl15 after structural relaxation from Alexandria via LeMat-Bulk. Energies are from PBE.

Unit cell a=4.803 b=4.803 c=24.745 alpha=90.00 beta=90.00 gamma=90.00
Sites, in units of the cell vectors:
Tl  0.000  0.500  0.096
Tl  0.500  0.500  0.601
Tl  0.500  0.000  0.904
Tl  0.500  0.500  0.399
Tl  0.500  0.000  0.298
Tl  0.000  0.500  0.904
Tl  0.000  0.500  0.298
Tl  0.500  0.500  0.000
Tl  0.500  0.500  0.195
Tl  0.000  0.500  0.500
Tl  0.000  0.500  0.702
Tl  0.500  0.000  0.500
Tl  0.500  0.000  0.702
Tl  0.500  0.500  0.805
Tl  0.500  0.000  0.096
Na  0.000  0.000  0.194
Na  0.000  0.000  0.806
Na  0.000  0.000  0.400
Na  0.000  0.000  0.600
Er  0.000  0.000  0.000

DFT formation energy = -1.6 eV/f.u.
D(E_F) = 0.5941 states/eV/atom